[1]
{
  "formula": "TiMn2Rh",
  "functional": "PBE-GGA",
  "state": "relaxed",
  "energy_ev_per_atom": -8.158,
  "formation_enthalpy_0k_kj_per_mol_fu": 92,
  "space_group": "I-42d (122)",
  "dos_at_fermi_per_ev_atom": 1.0936,
  "lattice_angstrom": [[6.8582, 0.0000, 0.0000], [0.0000, 6.8582, 0.0000], [3.4291, 3.4291, 2.5885]],
  "species": ["Mn", "Mn", "Mn", "Mn", "Rh", "Rh", "Ti", "Ti"],
  "fractional_positions": [[0.6374, 0.1250, 0.2500], [0.1126, 0.6250, 0.2500], [0.3750, 0.3626, 0.7500], [0.8750, 0.8874, 0.7500], [0.0000, 0.0000, 0.0000], [0.7500, 0.2500, 0.5000], [0.5000, 0.5000, 0.0000], [0.2500, 0.7500, 0.5000]]
}

=====

[2]
{
  "formula": "Sr2CdPd6Pb",
  "functional": "PBE-GGA",
  "state": "relaxed",
  "energy_ev_per_atom": -3.923,
  "formation_enthalpy_0k_kj_per_mol_fu": -9,
  "space_group": "Fm-3m (225)",
  "dos_at_fermi_per_ev_atom": 0.5545,
  "lattice_angstrom": [[7.1969, -0.0004, 0.0000], [0.0005, 7.1969, 0.0000], [3.5987, 3.5983, 5.0890]],
  "species": ["Sr", "Sr", "Cd", "Pd", "Pd", "Pd", "Pd", "Pd", "Pd", "Pb"],
  "fractional_positions": [[0.2500, 0.7500, 0.5000], [0.7500, 0.2500, 0.5000], [0.0000, 0.0000, 0.0000], [0.2487, 0.7513, 0.0000], [0.7513, 0.7513, 0.0000], [0.2487, 0.2487, 0.5026], [0.7513, 0.2487, 0.0000], [0.2487, 0.2487, 0.0000], [0.7513, 0.7513, 0.4974], [0.5000, 0.5000, 0.0000]]
}

=====

[3]
{
  "formula": "BaIn2CSe",
  "functional": "PBE-GGA",
  "state": "relaxed",
  "energy_ev_per_atom": -3.238,
  "space_group": "P4/mmm (123)",
  "dos_at_fermi_per_ev_atom": 0.8544,
  "lattice_angstrom": [[6.0938, 0.0000, 0.0000], [0.0000, 3.9971, 0.0000], [0.0000, 0.0000, 6.0938]],
  "species": ["C", "Ba", "Se", "In", "In"],
  "fractional_positions": [[0.0000, 0.5000, 0.0000], [0.5000, 0.5000, 0.5000], [0.0000, 0.0000, 0.0000], [0.0000, 0.0000, 0.5000], [0.5000, 0.0000, 0.0000]]
}